[1]
# Re2BiSbPt PBE relaxed
data_Re2BiSbPt
_cell_length_a 4.875
_cell_length_b 4.875
_cell_length_c 5.247
_cell_angle_alpha 90.00
_cell_angle_beta 90.00
_cell_angle_gamma 90.00
_symmetry_space_group_name_H-M 'P 4/m m m'
_symmetry_Int_Tables_number 123
_symmetry_space_group_name_Hall '-P 4 2'
loop_
_atom_site_label
_atom_site_fract_x
_atom_site_fract_y
_atom_site_fract_z
Re1 0.000 0.500 0.000
Bi1 0.000 0.000 0.500
Sb1 0.500 0.500 0.500
Pt1 0.500 0.500 0.000
# N(E_F) (states/eV/f.u.): 6.83
# Total moment (μB per cell): 2.0
# Final energy (eV for the cell shown): -30.195


[2]
# YNpB12 PBE relaxed
data_YNpB12
_cell_length_a 4.094
_cell_length_b 4.094
_cell_length_c 8.195
_cell_angle_alpha 90.00
_cell_angle_beta 90.00
_cell_angle_gamma 90.00
_symmetry_space_group_name_H-M 'P 4/m m m'
_symmetry_Int_Tables_number 123
_symmetry_space_group_name_Hall '-P 4 2'
loop_
_atom_site_label
_atom_site_fract_x
_atom_site_fract_y
_atom_site_fract_z
Y1 0.000 0.000 0.000
Np1 0.000 0.000 0.500
B1 0.198 0.500 0.250
B2 0.500 0.500 0.099
B3 0.500 0.500 0.401
# N(E_F) (states/eV/f.u.): 7.60
# Total moment (μB per cell): 4.2
# Final energy (eV for the cell shown): -104.310
# Formation energy (eV/atom): -0.341


[3]
# BaIrOs2 PBE relaxed
data_BaIrOs2
_cell_length_a 6.694
_cell_length_b 6.694
_cell_length_c 6.694
_cell_angle_alpha 90.00
_cell_angle_beta 90.00
_cell_angle_gamma 90.00
_symmetry_space_group_name_H-M 'F m -3 m'
_symmetry_Int_Tables_number 225
_symmetry_space_group_name_Hall '-F 4 2 3'
loop_
_atom_site_label
_atom_site_fract_x
_atom_site_fract_y
_atom_site_fract_z
Ba1 0.000 0.000 0.000
Ir1 0.000 0.000 0.500
Os1 0.250 0.250 0.250
# N(E_F) (states/eV/f.u.): 9.62
# Energy relative to the lowest polymorph listed for this composition (eV/f.u.): 5.25
# Total moment (μB per cell): 4.4
# Final energy (eV for the cell shown): -107.482
# Formation energy (eV/atom): 1.593


[4]
# BaInNi2Pd PBE relaxed
data_BaInNi2Pd
_cell_length_a 4.727
_cell_length_b 4.727
_cell_length_c 5.891
_cell_angle_alpha 90.00
_cell_angle_beta 90.00
_cell_angle_gamma 90.00
_symmetry_space_group_name_H-M 'P 4/m m m'
_symmetry_Int_Tables_number 123
_symmetry_space_group_name_Hall '-P 4 2'
loop_
_atom_site_label
_atom_site_fract_x
_atom_site_fract_y
_atom_site_fract_z
Ba1 0.000 0.000 0.000
In1 0.000 0.000 0.500
Ni1 0.000 0.500 0.000
Pd1 0.500 0.500 0.500
# N(E_F) (states/eV/f.u.): 4.69
# Total moment (μB per cell): 0.0
# Final energy (eV for the cell shown): -13.228
# Formation energy (eV/atom): 1.638


[5]
# Ca2YMo PBE relaxed
data_Ca2YMo
_cell_length_a 5.108
_cell_length_b 5.108
_cell_length_c 8.400
_cell_angle_alpha 90.00
_cell_angle_beta 90.00
_cell_angle_gamma 90.00
_symmetry_space_group_name_H-M 'I -4 m 2'
_symmetry_Int_Tables_number 119
_symmetry_space_group_name_Hall 'I -4 -2'
loop_
_atom_site_label
_atom_site_fract_x
_atom_site_fract_y
_atom_site_fract_z
Ca1 0.000 0.000 0.000
Ca2 0.000 0.500 0.250
Y1 0.000 0.000 0.500
Mo1 0.000 0.500 0.750
# N(E_F) (states/eV/f.u.): 5.21
# Energy relative to the lowest polymorph listed for this composition (eV/f.u.): 0.71
# Total moment (μB per cell): 2.6
# Final energy (eV for the cell shown): -37.723
# Formation energy (eV/atom): 0.609


[6]
# Tb2PrOsO8 PBE relaxed
data_Tb2PrOsO8
_cell_length_a 5.103
_cell_length_b 6.929
_cell_length_c 5.106
_cell_angle_alpha 90.00
_cell_angle_beta 90.63
_cell_angle_gamma 90.00
_symmetry_space_group_name_H-M 'P 1 2/m 1'
_symmetry_Int_Tables_number 10
loop_
_symmetry_equiv_pos_as_xyz
'x,y,z'
'-x,-y,-z'
'-x,y,-z'
'x,-y,z'
loop_
_atom_site_label
_atom_site_fract_x
_atom_site_fract_y
_atom_site_fract_z
Tb1 0.000 0.248 0.000
Pr1 0.500 0.000 0.500
Os1 0.500 0.500 0.500
O1 0.184 0.000 0.817
O2 0.241 0.500 0.760
O3 0.314 0.298 0.315
# N(E_F) (states/eV/f.u.): 3.49
# Total moment (μB per cell): 1.0
# Final energy (eV for the cell shown): -94.683


[7]
# SrSi PBE relaxed
data_SrSi
_cell_length_a 4.897
_cell_length_b 13.249
_cell_length_c 6.241
_cell_angle_alpha 90.00
_cell_angle_beta 90.00
_cell_angle_gamma 90.00
_symmetry_space_group_name_H-M 'I m m 2'
_symmetry_Int_Tables_number 44
loop_
_symmetry_equiv_pos_as_xyz
'x,y,z'
'-x,-y,z'
'-x,y,z'
'x,-y,z'
'x+1/2,y+1/2,z+1/2'
'-x+1/2,-y+1/2,z+1/2'
'-x+1/2,y+1/2,z+1/2'
'x+1/2,-y+1/2,z+1/2'
loop_
_atom_site_label
_atom_site_fract_x
_atom_site_fract_y
_atom_site_fract_z
Sr1 0.000 0.000 0.000
Sr2 0.000 0.300 0.149
Si1 0.000 0.357 0.650
Si2 0.000 0.500 0.870
# N(E_F) (states/eV/f.u.): 1.42
# Total moment (μB per cell): 0.0
# Final energy (eV for the cell shown): -45.667


[8]
# PHCl PBE relaxed
data_PHCl
_cell_length_a 8.527
_cell_length_b 3.030
_cell_length_c 6.152
_cell_angle_alpha 90.00
_cell_angle_beta 123.25
_cell_angle_gamma 90.00
_symmetry_space_group_name_H-M 'C 1 m 1'
_symmetry_Int_Tables_number 8
loop_
_symmetry_equiv_pos_as_xyz
'x,y,z'
'x,-y,z'
'x+1/2,y+1/2,z'
'x+1/2,-y+1/2,z'
loop_
_atom_site_label
_atom_site_fract_x
_atom_site_fract_y
_atom_site_fract_z
P1 0.000 0.000 0.000
H1 0.350 0.500 0.043
Cl1 0.214 0.000 0.384
# N(E_F) (states/eV/f.u.): 0.74
# Energy relative to the lowest polymorph listed for this composition (eV/f.u.): 0.71
# Total moment (μB per cell): 0.0
# Final energy (eV for the cell shown): -21.662


[9]
# TbTiPd2 PBE relaxed
data_TbTiPd2
_cell_length_a 3.233
_cell_length_b 3.233
_cell_length_c 7.166
_cell_angle_alpha 90.00
_cell_angle_beta 90.00
_cell_angle_gamma 90.00
_symmetry_space_group_name_H-M 'P 4/m m m'
_symmetry_Int_Tables_number 123
_symmetry_space_group_name_Hall '-P 4 2'
loop_
_atom_site_label
_atom_site_fract_x
_atom_site_fract_y
_atom_site_fract_z
Tb1 0.000 0.000 0.000
Ti1 0.000 0.000 0.500
Pd1 0.500 0.500 0.296
# N(E_F) (states/eV/f.u.): 3.26
# Energy relative to the lowest polymorph listed for this composition (eV/f.u.): 0.00
# Total moment (μB per cell): 0.0
# Final energy (eV for the cell shown): -25.449
# Formation energy (eV/atom): -0.634


[10]
# CsSn3Pd PBE relaxed
data_CsSn3Pd
_cell_length_a 6.079
_cell_length_b 6.079
_cell_length_c 6.079
_cell_angle_alpha 90.00
_cell_angle_beta 90.00
_cell_angle_gamma 90.00
_symmetry_space_group_name_H-M 'P m -3 m'
_symmetry_Int_Tables_number 221
_symmetry_space_group_name_Hall '-P 4 2 3'
loop_
_atom_site_label
_atom_site_fract_x
_atom_site_fract_y
_atom_site_fract_z
Cs1 0.000 0.000 0.000
Sn1 0.000 0.000 0.500
Pd1 0.500 0.500 0.500
# N(E_F) (states/eV/f.u.): 5.73
# Energy relative to the lowest polymorph listed for this composition (eV/f.u.): 9.95
# Total moment (μB per cell): 0.0
# Final energy (eV for the cell shown): -9.418
# Formation energy (eV/atom): 1.727


[11]
# AcTb4In5 PBE relaxed
data_AcTb4In5
_cell_length_a 3.821
_cell_length_b 3.821
_cell_length_c 19.378
_cell_angle_alpha 90.00
_cell_angle_beta 90.00
_cell_angle_gamma 90.00
_symmetry_space_group_name_H-M 'P 4/m m m'
_symmetry_Int_Tables_number 123
_symmetry_space_group_name_Hall '-P 4 2'
loop_
_atom_site_label
_atom_site_fract_x
_atom_site_fract_y
_atom_site_fract_z
Ac1 0.000 0.000 0.000
Tb1 0.000 0.000 0.213
Tb2 0.000 0.000 0.405
In1 0.500 0.500 0.118
In2 0.500 0.500 0.309
In3 0.500 0.500 0.500
# N(E_F) (states/eV/f.u.): 5.46
# Total moment (μB per cell): 0.0
# Final energy (eV for the cell shown): -40.940
# Formation energy (eV/atom): -0.462


[12]
# BaCd2Pb2 PBE relaxed
data_BaCd2Pb2
_cell_length_a 5.063
_cell_length_b 5.063
_cell_length_c 12.599
_cell_angle_alpha 90.00
_cell_angle_beta 90.00
_cell_angle_gamma 90.00
_symmetry_space_group_name_H-M 'I 4/m m m'
_symmetry_Int_Tables_number 139
_symmetry_space_group_name_Hall '-I 4 2'
loop_
_atom_site_label
_atom_site_fract_x
_atom_site_fract_y
_atom_site_fract_z
Ba1 0.000 0.000 0.000
Cd1 0.000 0.000 0.390
Pb1 0.000 0.500 0.250
# N(E_F) (states/eV/f.u.): 1.70
# Total moment (μB per cell): 0.0
# Final energy (eV for the cell shown): -25.637
# Formation energy (eV/atom): -0.330